No. 1
The following is a GGA-PBEsol calculation of Ta2PbO2 after structural relaxation, from the Alexandria database.

Unit cell a=4.0980 b=4.0980 c=9.6900 alpha=90.00 beta=90.00 gamma=90.00
With the nearest neighbours (Å) after each atom.
Positions (direct):
Ta (0.0000, 0.5000, 0.2500)  4 O 2.10
Ta (0.0000, 0.5000, 0.7500)  4 O 2.10
Ta (0.5000, 0.0000, 0.2500)  4 O 2.10
Ta (0.5000, 0.0000, 0.7500)  4 O 2.10
Pb (0.0000, 0.0000, 0.0000)  2 O 2.90, 8 Ta 3.17
Pb (0.5000, 0.5000, 0.5000)  2 O 2.90, 8 Ta 3.17
O (0.0000, 0.0000, 0.2992)  4 Ta 2.10
O (0.0000, 0.0000, 0.7008)  4 Ta 2.10
O (0.5000, 0.5000, 0.2008)  4 Ta 2.10
O (0.5000, 0.5000, 0.7992)  4 Ta 2.10

Summary:
DOS at the Fermi energy   4.81 states/eV/cell
Crystal system   tetragonal
Symmetry   I4/mmm
V   162.7 Å³/cell
Formation energy without anion corrections   -0.95 eV/atom

---

No. 2
The following is a GGA-PBEsol calculation of Tb2Pb2O7 after structural relaxation, from the Alexandria database.

Unit cell a=7.2740 b=7.2740 c=12.7250 alpha=90.00 beta=90.00 gamma=90.00
With the nearest neighbours (Å) after each atom.
Positions (direct):
Tb (0.1238, 0.3563, 0.3895)  7 O 2.21-2.44
Tb (0.1437, 0.6238, 0.6395)  7 O 2.21-2.44
Tb (0.3563, 0.1238, 0.6105)  7 O 2.21-2.44
Tb (0.3762, 0.8563, 0.8605)  7 O 2.21-2.44
Tb (0.6238, 0.1437, 0.3605)  7 O 2.21-2.44
Tb (0.6437, 0.8762, 0.1105)  7 O 2.21-2.44
Tb (0.8563, 0.3762, 0.1395)  7 O 2.21-2.44
Tb (0.8762, 0.6437, 0.8895)  7 O 2.21-2.44
Pb (0.1129, 0.8759, 0.0987)  4 O 2.05-2.13
Pb (0.1241, 0.8871, 0.4013)  4 O 2.05-2.13
Pb (0.3759, 0.3871, 0.8487)  4 O 2.05-2.13
Pb (0.3871, 0.3759, 0.1513)  4 O 2.05-2.13
Pb (0.6129, 0.6241, 0.6513)  4 O 2.05-2.13
Pb (0.6241, 0.6129, 0.3487)  4 O 2.05-2.13
Pb (0.8759, 0.1129, 0.9013)  4 O 2.05-2.13
Pb (0.8871, 0.1241, 0.5987)  4 O 2.05-2.13
O (0.0712, 0.9037, 0.9110)  1 Pb 2.09
O (0.0956, 0.3248, 0.5752)  1 Pb 2.13, 1 Tb 2.35
O (0.0963, 0.9288, 0.5890)  1 Pb 2.09
O (0.1294, 0.3297, 0.2117)  1 Pb 2.05, 2 Tb 2.21-2.27
O (0.1703, 0.6294, 0.4617)  1 Pb 2.05, 2 Tb 2.21-2.27
O (0.1752, 0.5956, 0.8252)  1 Pb 2.13, 1 Tb 2.35
O (0.2000, 0.8000, 0.2500)  2 Pb 2.10
O (0.3000, 0.3000, 0.0000)  2 Pb 2.10
O (0.3248, 0.0956, 0.4248)  1 Pb 2.13, 1 Tb 2.35
O (0.3297, 0.1294, 0.7883)  1 Pb 2.05, 2 Tb 2.21-2.27
O (0.3706, 0.8297, 0.0383)  1 Pb 2.05, 2 Tb 2.21-2.27
O (0.4037, 0.4288, 0.6610)  1 Pb 2.09
O (0.4044, 0.8248, 0.6748)  1 Pb 2.13, 1 Tb 2.35
O (0.4288, 0.4037, 0.3390)  1 Pb 2.09
O (0.5712, 0.5963, 0.8390)  1 Pb 2.09
O (0.5956, 0.1752, 0.1748)  1 Pb 2.13, 1 Tb 2.35
O (0.5963, 0.5712, 0.1610)  1 Pb 2.09
O (0.6294, 0.1703, 0.5383)  1 Pb 2.05, 2 Tb 2.21-2.27
O (0.6703, 0.8706, 0.2883)  1 Pb 2.05, 2 Tb 2.21-2.27
O (0.6752, 0.9044, 0.9248)  1 Pb 2.13, 1 Tb 2.35
O (0.7000, 0.7000, 0.5000)  2 Pb 2.10
O (0.8000, 0.2000, 0.7500)  2 Pb 2.10
O (0.8248, 0.4044, 0.3252)  1 Pb 2.13, 1 Tb 2.35
O (0.8297, 0.3706, 0.9617)  1 Pb 2.05, 2 Tb 2.21-2.27
O (0.8706, 0.6703, 0.7117)  1 Pb 2.05, 2 Tb 2.21-2.27
O (0.9037, 0.0712, 0.0890)  1 Pb 2.09
O (0.9044, 0.6752, 0.0752)  1 Pb 2.13, 1 Tb 2.35
O (0.9288, 0.0963, 0.4110)  1 Pb 2.09

Summary:
Crystal system   tetragonal
Symmetry   P4_12_12
V   673.3 Å³/cell
Relative energy among the computed polymorphs   99 meV/atom
Formation energy without anion corrections   -2.04 eV/atom

---

No. 3
The following is a GGA-PBEsol calculation of Tb2Pb2O7 after structural relaxation, from the Alexandria database.

Unit cell a=7.5351 b=7.5351 c=7.5351 alpha=60.00 beta=60.00 gamma=60.00
With the nearest neighbours (Å) after each atom.
Positions (direct):
Tb (0.0000, 0.0000, 0.0000)  8 O 2.31-2.48
Tb (0.0000, 0.0000, 0.5000)  8 O 2.31-2.48
Tb (0.0000, 0.5000, 0.0000)  8 O 2.31-2.48
Tb (0.5000, 0.0000, 0.0000)  8 O 2.31-2.48
Pb (0.0000, 0.5000, 0.5000)  6 O 2.16
Pb (0.5000, 0.0000, 0.5000)  6 O 2.16
Pb (0.5000, 0.5000, 0.0000)  6 O 2.16
Pb (0.5000, 0.5000, 0.5000)  6 O 2.16
O (0.1250, 0.1250, 0.1250)  4 Tb 2.31
O (0.1507, 0.1507, 0.5993)  2 Pb 2.16
O (0.1507, 0.5993, 0.1507)  2 Pb 2.16
O (0.1507, 0.5993, 0.5993)  2 Pb 2.16
O (0.4007, 0.4007, 0.8493)  2 Pb 2.16
O (0.4007, 0.8493, 0.4007)  2 Pb 2.16
O (0.4007, 0.8493, 0.8493)  2 Pb 2.16
O (0.5993, 0.1507, 0.1507)  2 Pb 2.16
O (0.5993, 0.1507, 0.5993)  2 Pb 2.16
O (0.5993, 0.5993, 0.1507)  2 Pb 2.16
O (0.8493, 0.4007, 0.4007)  2 Pb 2.16
O (0.8493, 0.4007, 0.8493)  2 Pb 2.16
O (0.8493, 0.8493, 0.4007)  2 Pb 2.16
O (0.8750, 0.8750, 0.8750)  4 Tb 2.31

Summary:
Crystal system   cubic
Symmetry   Fd-3m
V   302.5 Å³/cell
Relative energy among the computed polymorphs   0 meV/atom
Formation energy without anion corrections   -2.14 eV/atom

---

No. 4
The following is a GGA-PBEsol calculation of TcPbO3 after structural relaxation, from the Alexandria database.

Unit cell a=7.2641 b=7.2641 c=7.2641 alpha=60.00 beta=60.00 gamma=60.00
With the nearest neighbours (Å) after each atom.
Positions (direct):
Tc (0.0000, 0.0000, 0.0000)  6 O 1.94
Tc (0.0000, 0.0000, 0.5000)  6 O 1.94
Tc (0.0000, 0.5000, 0.0000)  6 O 1.94
Tc (0.5000, 0.0000, 0.0000)  6 O 1.94
Pb (0.0000, 0.5000, 0.5000)  6 O 2.62
Pb (0.5000, 0.0000, 0.5000)  6 O 2.62
Pb (0.5000, 0.5000, 0.0000)  6 O 2.62
Pb (0.5000, 0.5000, 0.5000)  6 O 2.62
O (0.0664, 0.0664, 0.6836)  2 Tc 1.94
O (0.0664, 0.6836, 0.0664)  2 Tc 1.94
O (0.0664, 0.6836, 0.6836)  2 Tc 1.94
O (0.3164, 0.3164, 0.9336)  2 Tc 1.94
O (0.3164, 0.9336, 0.3164)  2 Tc 1.94
O (0.3164, 0.9336, 0.9336)  2 Tc 1.94
O (0.6836, 0.0664, 0.0664)  2 Tc 1.94
O (0.6836, 0.0664, 0.6836)  2 Tc 1.94
O (0.6836, 0.6836, 0.0664)  2 Tc 1.94
O (0.9336, 0.3164, 0.3164)  2 Tc 1.94
O (0.9336, 0.3164, 0.9336)  2 Tc 1.94
O (0.9336, 0.9336, 0.3164)  2 Tc 1.94

Summary:
DOS at the Fermi energy   11.67 states/eV/cell
Crystal system   cubic
Symmetry   Fd-3m
V   271.0 Å³/cell
Formation energy without anion corrections   -1.31 eV/atom

---

Which of these has the highest formation energy without anion corrections? Ta2PbO2